VASP calculation (PBE) on a relaxed Pr2CuHg crystal.

The structure belongs to space group Fm-3m (No. 225); the cell edges are 7.525, 7.525 and 7.525 Å and the angles 90.00°, 90.00° and 90.00°. Symmetry generates all atoms from Pr at (0.250, 0.250, 0.250), Cu at (0.000, 0.000, 0.000) and Hg at (0.000, 0.000, 0.500).

The energy relative to the lowest polymorph listed for this composition is 22 meV per atom. The spin magnetization is 0.11 μB per formula unit.